Computed, not measured: a relaxed Er2PaSi3Pt4 crystal at the PBE-GGA level of DFT.

a = 4.193 Å, b = 4.193 Å, c = 10.997 Å
α = 90.00°, β = 90.00°, γ = 90.00°
Element x y z (fractional)
Si 0.000 0.000 0.500
Pa 0.500 0.500 0.500
Er 0.000 0.500 0.782
Si 0.500 0.000 0.879
Si 0.000 0.500 0.121
Pt 0.500 0.500 0.000
Pt 0.000 0.000 0.000
Er 0.500 0.000 0.218
Pt 0.500 0.000 0.665
Pt 0.000 0.500 0.335

Summary:
- ΔE_f (raw) (meV per atom) = -951

---

Computed, not measured: a relaxed ErPaZnPt crystal at the PBE-GGA level of DFT.

a = 4.971 Å, b = 4.971 Å, c = 4.971 Å
α = 60.00°, β = 60.00°, γ = 60.00°
Element x y z (fractional)
Pa 0.500 0.500 0.500
Pt 0.250 0.250 0.250
Er 0.000 0.000 0.000
Zn 0.750 0.750 0.750

Summary:
- E_form (eV/f.u.) = -2.001

---

Computed, not measured: a relaxed ErPu4Pa crystal at the PBE-GGA level of DFT.

a = 6.015 Å, b = 6.015 Å, c = 6.015 Å
α = 60.00°, β = 60.00°, γ = 60.00°
Element x y z (fractional)
Pu 0.129 0.624 0.624
Pu 0.624 0.624 0.129
Er 0.000 0.000 0.000
Pu 0.624 0.129 0.624
Pa 0.250 0.250 0.250
Pu 0.624 0.624 0.624

Summary:
- E_form (eV/f.u.) = 1.802

---

Computed, not measured: a relaxed ErPuPa crystal at the PBE-GGA level of DFT.

a = 5.429 Å, b = 5.429 Å, c = 7.391 Å
α = 68.45°, β = 68.45°, γ = 60.00°
Element x y z (fractional)
Pa 0.433 0.433 0.702
Er 0.876 0.876 0.371
Pu 0.704 0.704 0.888
Er 0.124 0.124 0.629
Pa 0.567 0.567 0.298
Pu 0.296 0.296 0.112

Summary:
- offset from the most stable computed form (meV/atom) = 383.9
- E_form (eV/f.u.) = 1.507

---

no.,density of states at the Fermi level (states/eV/atom),size of the total moment (μB/f.u.),energy (eV/cell)
1,0.98,0.00,-68.56
2,1.08,0.26,-23.37
3,3.98,21.65,-69.58
4,2.46,7.74,-53.77